No. 1
Compound: NaSrAu10
Source: the Alexandria database
Functional: GGA-PBE
Structure: relaxed

Computed properties:
* DFT total energy: -39.75 eV per cell
* space group: No. 47
* size of the total moment: 0.00 μB per formula unit

abc: 4.646 5.630 9.882
angles: 90.00 90.00 90.00
Atoms (fractional coordinates):
Na1 0.000 0.000 0.000
Sr1 0.000 0.500 0.500
Au1 0.000 0.000 0.327
Au2 0.000 0.500 0.839
Au3 0.000 0.500 0.161
Au4 0.000 0.000 0.673
Au5 0.500 0.000 0.500
Au6 0.500 0.500 0.000
Au7 0.500 0.252 0.251
Au8 0.500 0.748 0.749
Au9 0.500 0.748 0.251
Au10 0.500 0.252 0.749

No. 2
Compound: Na2SrAu2
Source: the Alexandria database
Functional: GGA-PBE
Structure: relaxed

Computed properties:
* distance to the lowest polymorph of the same formula: 99.1 meV per atom
* space group: No. 127
* size of the total moment: 0.00 μB per formula unit

abc: 8.028 8.028 4.348
angles: 90.00 90.00 90.00
Atoms (fractional coordinates):
Sr1 0.000 0.000 0.000
Sr2 0.500 0.500 0.000
Au1 0.374 0.874 0.000
Au2 0.874 0.626 0.000
Au3 0.626 0.126 0.000
Au4 0.126 0.374 0.000
Na1 0.156 0.656 0.500
Na2 0.656 0.844 0.500
Na3 0.844 0.344 0.500
Na4 0.344 0.156 0.500

No. 3
Compound: Na3Sr6Au
Source: the Alexandria database
Functional: GGA-PBE
Structure: relaxed

Computed properties:
* DFT total energy: -36.79 eV per cell
* space group: No. 14
* size of the total moment: 0.00 μB per formula unit

abc: 7.607 9.999 12.281
angles: 90.00 86.68 90.00
Atoms (fractional coordinates):
Na1 0.617 0.887 0.737
Na2 0.500 0.500 0.000
Na3 0.383 0.113 0.263
Na4 0.117 0.613 0.237
Na5 0.000 0.000 0.500
Na6 0.883 0.387 0.763
Sr1 0.648 0.152 0.950
Sr2 0.607 0.206 0.558
Sr3 0.655 0.451 0.266
Sr4 0.345 0.549 0.734
Sr5 0.393 0.794 0.442
Sr6 0.352 0.848 0.050
Sr7 0.148 0.348 0.450
Sr8 0.107 0.294 0.058
Sr9 0.155 0.049 0.766
Sr10 0.845 0.951 0.234
Sr11 0.893 0.706 0.942
Sr12 0.852 0.652 0.550
Au1 0.500 0.500 0.500
Au2 0.000 0.000 0.000

No. 4
Compound: NaSrAu
Source: the Alexandria database
Functional: GGA-PBE
Structure: relaxed

Computed properties:
* distance to the lowest polymorph of the same formula: 0.0 meV per atom
* space group: No. 11
* size of the total moment: 0.00 μB per formula unit

abc: 4.796 4.112 10.390
angles: 90.18 90.00 90.00
Atoms (fractional coordinates):
Na1 0.750 0.497 0.613
Na2 0.250 0.503 0.387
Sr1 0.250 0.999 0.839
Sr2 0.750 0.001 0.161
Au1 0.250 0.501 0.088
Au2 0.750 0.499 0.912

No. 5
Compound: NaSr4Au
Source: the Alexandria database
Functional: GGA-PBE
Structure: relaxed

Computed properties:
* distance to the lowest polymorph of the same formula: 0.0 meV per atom
* space group: No. 11
* size of the total moment: 0.00 μB per formula unit

abc: 6.745 8.176 9.755
angles: 90.00 101.57 90.00
Atoms (fractional coordinates):
Na1 0.275 0.750 0.563
Na2 0.725 0.250 0.437
Sr1 0.707 0.750 0.346
Sr2 0.293 0.250 0.654
Sr3 0.383 0.750 0.941
Sr4 0.617 0.250 0.059
Sr5 0.153 0.010 0.221
Sr6 0.847 0.510 0.779
Sr7 0.153 0.490 0.221
Sr8 0.847 0.990 0.779
Au1 0.865 0.750 0.043
Au2 0.135 0.250 0.957

No. 6
Compound: NaSr5Au2
Source: the Alexandria database
Functional: GGA-PBE
Structure: relaxed

Computed properties:
* DFT total energy: -19.62 eV per cell
* space group: No. 71
* size of the total moment: 0.00 μB per formula unit

abc: 4.661 8.306 9.741
angles: 115.24 103.84 90.00
Atoms (fractional coordinates):
Na1 0.000 0.000 0.000
Sr1 0.000 0.500 0.000
Sr2 0.655 0.401 0.310
Sr3 0.345 0.599 0.690
Sr4 0.655 0.909 0.310
Sr5 0.345 0.091 0.690
Au1 0.192 0.692 0.385
Au2 0.808 0.308 0.615

No. 7
Compound: NaSr6Au2
Source: the Alexandria database
Functional: GGA-PBE
Structure: relaxed

Computed properties:
* DFT total energy: -42.77 eV per cell
* space group: No. 71
* size of the total moment: 0.00 μB per formula unit

abc: 9.821 9.821 9.821
angles: 103.36 111.06 114.18
Atoms (fractional coordinates):
Na1 0.000 0.500 0.500
Na2 0.000 0.000 0.000
Sr1 0.471 0.293 0.178
Sr2 0.529 0.707 0.822
Sr3 0.886 0.707 0.178
Sr4 0.114 0.293 0.822
Sr5 0.203 0.759 0.963
Sr6 0.797 0.241 0.037
Sr7 0.797 0.759 0.556
Sr8 0.203 0.241 0.444
Sr9 0.317 0.982 0.664
Sr10 0.683 0.018 0.336
Sr11 0.683 0.347 0.664
Sr12 0.317 0.653 0.336
Au1 0.500 0.371 0.871
Au2 0.500 0.629 0.129
Au3 0.315 0.000 0.315
Au4 0.685 0.000 0.685

No. 8
Compound: NaSr3Au
Source: the Alexandria database
Functional: GGA-PBE
Structure: relaxed

Computed properties:
* distance to the lowest polymorph of the same formula: 16.9 meV per atom
* space group: No. 65
* size of the total moment: 0.00 μB per formula unit

abc: 4.502 10.397 10.399
angles: 69.85 90.00 90.00
Atoms (fractional coordinates):
Na1 0.363 0.694 0.746
Na2 0.864 0.194 0.246
Sr1 0.863 0.364 0.819
Sr2 0.863 0.024 0.674
Sr3 0.863 0.621 0.077
Sr4 0.363 0.994 0.046
Sr5 0.863 0.767 0.416
Sr6 0.363 0.394 0.447
Au1 0.363 0.694 0.246
Au2 0.363 0.194 0.746